*i*
Computed, not measured: a relaxed TlCd2Sb crystal at the PBEsol level of DFT.

Output
DOS(E_F): 0.46 states/eV/atom
Volume: 99 Å³/f.u.
Symmetry: Pmmm (47)

Cell and atoms, written as POSCAR:
```
TlCd2Sb
1.0
4.269 0.000 0.000
0.000 4.553 0.000
0.000 0.000 5.085
Tl Cd Sb
1 2 1
direct
0.000 0.000 0.000
0.500 0.000 0.500
0.500 0.500 0.000
0.000 0.500 0.500
```


*ii*
Computed, not measured: a relaxed TlCd2Sb crystal at the PBEsol level of DFT.

Output
DOS(E_F): 0.49 states/eV/atom
Volume: 100 Å³/f.u.
Symmetry: Imm2 (44)

Cell and atoms, written as POSCAR:
```
TlCd2Sb
1.0
-1.595 2.745 5.709
1.595 -2.745 5.709
1.595 2.745 -5.709
Tl Cd Sb
1 2 1
direct
0.000 0.000 0.000
0.273 0.773 0.500
0.495 0.495 0.000
0.728 0.228 0.500
```


Most favorable structure: *i*. The second most favorable one is 0.009 eV/atom above it.


*i*
Computed, not measured: a relaxed TlCdSb crystal at the PBEsol level of DFT.

Output
DOS(E_F): 0.34 states/eV/atom
Volume: 89 Å³/f.u.
Symmetry: F-43m (216)

Cell and atoms, written as POSCAR:
```
TlCdSb
1.0
0.000 3.541 3.541
3.541 0.000 3.541
3.541 3.541 0.000
Tl Cd Sb
1 1 1
direct
0.000 0.000 0.000
0.250 0.250 0.250
0.750 0.750 0.750
```


*ii*
Computed, not measured: a relaxed TlCdSb crystal at the PBEsol level of DFT.

Output
DOS(E_F): 0.05 states/eV/atom
Volume: 83 Å³/f.u.
Symmetry: Pnma (62)

Cell and atoms, written as POSCAR:
```
TlCdSb
1.0
8.058 0.000 0.000
0.000 4.909 0.000
0.000 0.000 8.391
Tl Cd Sb
4 4 4
direct
0.001 0.250 0.183
0.499 0.750 0.683
0.501 0.250 0.317
0.999 0.750 0.817
0.161 0.250 0.588
0.339 0.750 0.088
0.661 0.250 0.912
0.839 0.750 0.412
0.209 0.750 0.408
0.291 0.250 0.908
0.709 0.750 0.092
0.791 0.250 0.592
```


Most favorable structure: *ii*. The second most favorable one is 0.314 eV/atom above it.